Here is a geometry-optimized IrW2F structure from Alexandria via LeMat-Bulk. Energies are from PBE with a Hubbard U.

Cell: 6.202 6.202 6.202 Å, 90.00 90.00 90.00°
Space group Fm-3m (No. 225)
Unique sites:
Ir 0.000 0.000 0.000 [4 per cell]
W 0.250 0.250 0.250 [8 per cell]
F 0.000 0.000 0.500 [4 per cell]

Summary:
Final energy   -5.84 eV/atom
Total magnetic moment   0.00 μB/cell
ρ   16.12 g cm⁻³
Excess energy over the best structure of this formula in the dataset   0.0 kJ/mol of atoms